1.
Computed, not measured: Tb3Nd4Tm3 after structural relaxation at the PBE-GGA level of DFT.

Lattice parameters (Å, degrees): 3.8096 9.3063 9.3063 89.87 90.00 90.00
Positions (direct):
Tb (0.0000, 0.5019, 0.0013)
Tb (0.0000, 0.9987, 0.4981)
Tb (0.5000, 0.1682, 0.8318)
Nd (0.0000, 0.6306, 0.3694)
Nd (0.0000, 0.3697, 0.6303)
Nd (0.0000, 0.8681, 0.8693)
Nd (0.0000, 0.1307, 0.1319)
Tm (0.5000, 0.8317, 0.1683)
Tm (0.5000, 0.3320, 0.3316)
Tm (0.5000, 0.6684, 0.6680)

Properties
The magnetic moment is 0.0 μB per cell. The value obtained for the calculated formation energy is 0.100 eV per atom.



2.
Computed, not measured: Tb3Nd4Tm4 after structural relaxation at the PBE-GGA level of DFT.

Lattice parameters (Å, degrees): 5.6780 6.6465 10.6490 90.00 90.00 115.29
Positions (direct):
Tb (0.4114, 0.8227, 0.2873)
Tb (0.4114, 0.8227, 0.7127)
Tb (0.2538, 0.5075, 0.0000)
Nd (0.7548, 0.5097, 0.7908)
Nd (0.7548, 0.5097, 0.2092)
Nd (0.8813, 0.7626, 0.5000)
Nd (0.9604, 0.9209, 0.0000)
Tm (0.6085, 0.2170, 0.5000)
Tm (0.5540, 0.1080, 0.0000)
Tm (0.1041, 0.2082, 0.6965)
Tm (0.1041, 0.2082, 0.3035)

Properties
The magnetic moment is 0.0 μB per cell. The value obtained for the calculated formation energy is 0.153 eV per atom. For the relative energy among the computed polymorphs, the calculation gives 132 meV per atom.